A plane-wave DFT calculation with PBE with a Hubbard U was carried out for a relaxed structure of CaHgMoO4.

Cell: 6.901 6.901 7.078 Å, 101.65 101.65 59.17°
Sites, in units of the cell vectors:
1 Ca 0.214 0.214 0.345
2 Ca 0.786 0.786 0.655
3 Hg 0.470 0.470 0.762
4 Hg 0.530 0.530 0.238
5 Mo 0.136 0.136 0.764
6 Mo 0.864 0.864 0.236
7 O 0.016 0.016 0.267
8 O 0.025 0.612 0.362
9 O 0.204 0.204 0.015
10 O 0.388 0.975 0.638
11 O 0.612 0.025 0.362
12 O 0.796 0.796 0.985
13 O 0.975 0.388 0.638
14 O 0.984 0.984 0.733

Results
**Crystal system**: monoclinic
**Energy**: -84.72 eV per cell